[1]
# PBE CaLaN2F, relaxed
data_CaLaN2F
_symmetry_space_group_name_H-M 'P 4/m m m'
_symmetry_Int_Tables_number 123
_symmetry_space_group_name_Hall '-P 4 2'
_cell_length_a 4.355
_cell_length_b 4.355
_cell_length_c 4.205
_cell_angle_alpha 90.00
_cell_angle_beta 90.00
_cell_angle_gamma 90.00
loop_
_atom_site_label
_atom_site_type_symbol
_atom_site_fract_x
_atom_site_fract_y
_atom_site_fract_z
Ca1 Ca 0.000 0.000 0.000
La1 La 0.500 0.500 0.500
N1 N 0.000 0.500 0.000
F1 F 0.000 0.000 0.500
# E above lowest polymorph in eV/atom: 0.038
# DOS(E_F) in states/eV/cell: 1.37
# Energy relative to the elements, uncorrected in kcal/mol of atoms: -21.10
# Total energy in eV per atom: -6.005

=====

[2]
# PBE CaLaN2F, relaxed
data_CaLaN2F
_symmetry_space_group_name_H-M 'P 4/m m m'
_symmetry_Int_Tables_number 123
_symmetry_space_group_name_Hall '-P 4 2'
_cell_length_a 4.487
_cell_length_b 4.487
_cell_length_c 4.609
_cell_angle_alpha 90.00
_cell_angle_beta 90.00
_cell_angle_gamma 90.00
loop_
_atom_site_label
_atom_site_type_symbol
_atom_site_fract_x
_atom_site_fract_y
_atom_site_fract_z
Ca1 Ca 0.000 0.000 0.000
La1 La 0.500 0.500 0.500
N1 N 0.000 0.500 0.500
F1 F 0.500 0.500 0.000
# E above lowest polymorph in eV/atom: 0.000
# DOS(E_F) in states/eV/cell: 2.73
# Energy relative to the elements, uncorrected in kcal/mol of atoms: -21.98
# Total energy in eV per atom: -6.043

=====

[3]
# PBE CaLaNF2, relaxed
data_CaLaNF2
_symmetry_space_group_name_H-M 'P 4/m m m'
_symmetry_Int_Tables_number 123
_symmetry_space_group_name_Hall '-P 4 2'
_cell_length_a 4.635
_cell_length_b 4.635
_cell_length_c 4.807
_cell_angle_alpha 90.00
_cell_angle_beta 90.00
_cell_angle_gamma 90.00
loop_
_atom_site_label
_atom_site_type_symbol
_atom_site_fract_x
_atom_site_fract_y
_atom_site_fract_z
Ca1 Ca 0.000 0.000 0.000
La1 La 0.500 0.500 0.500
N1 N 0.500 0.500 0.000
F1 F 0.000 0.500 0.500
# E above lowest polymorph in eV/atom: 0.157
# DOS(E_F) in states/eV/cell: 0.99
# Energy relative to the elements, uncorrected in kcal/mol of atoms: -49.74
# Total energy in eV per atom: -5.956

=====

[4]
# PBE NaCaLaF6, relaxed
data_NaCaLaF6
_symmetry_space_group_name_H-M 'P 3'
_symmetry_Int_Tables_number 143
_symmetry_space_group_name_Hall 'P 3'
_cell_length_a 6.1406
_cell_length_b 6.1406
_cell_length_c 3.7854
_cell_angle_alpha 90.00
_cell_angle_beta 90.00
_cell_angle_gamma 120.00
loop_
_atom_site_label
_atom_site_type_symbol
_atom_site_fract_x
_atom_site_fract_y
_atom_site_fract_z
Na1 Na 0.0000 0.0000 0.0000
Ca1 Ca 0.3333 0.6667 0.2419
La1 La 0.6667 0.3333 0.7236
F1 F 0.0828 0.6973 0.7360
F2 F 0.3906 0.0805 0.2265
# DOS(E_F) in states/eV/cell: 0.00
# Energy relative to the elements, uncorrected in kcal/mol of atoms: -87.20
# Total energy in eV per atom: -5.945

=====

Q: The lowest DOS(E_F) belongs to which entry?
A: NaCaLaF6